An optimized crystal structure of CrBiO4F, computed with GGA+U.

Mass density in g cm⁻³: 4.94
Size of the total moment in μB per cell: 0.0
DOS at the Fermi energy in states/eV per atom: 0.000
Total DFT energy (no corrections) in eV/atom: -6.19

Unit cell a=9.5823 b=7.3483 c=6.8573 alpha=90.00 beta=106.58 gamma=90.00
Last column: nearest neighbours and their distance in Å.
Space group C2/m (No. 12)
Unique sites:
Cr1 0.1517 0.0000 0.2821 x4  4 O 1.63-1.69
Bi1 0.2043 0.5000 0.1242 x4  2 F 2.24-2.33, 3 O 2.33-2.36
O1 0.0210 0.0000 0.7314 x4  1 Cr 1.63
O2 0.1917 0.1809 0.1550 x8  1 Cr 1.69
O3 0.2485 0.5000 0.4770 x4  1 Cr 1.66
F1 0.0154 0.5000 0.8217 x4  2 Bi 2.24-2.33